Record 1
Here is a relaxed CdOs crystal from Alexandria. Energies are from PBE.

a = 8.035 Å, b = 8.035 Å, c = 4.647 Å
α = 90.00°, β = 90.00°, γ = 90.00°
Element x y z (fractional)
Cd 0.788 0.500 0.000
Cd 0.500 0.788 0.000
Cd 0.000 0.712 0.500
Cd 0.212 0.500 0.000
Cd 0.500 0.212 0.000
Cd 0.288 0.000 0.500
Cd 0.000 0.288 0.500
Cd 0.712 0.000 0.500
Os 0.846 0.154 0.000
Os 0.346 0.654 0.500
Os 0.846 0.846 0.000
Os 0.154 0.154 0.000
Os 0.154 0.846 0.000
Os 0.346 0.346 0.500
Os 0.654 0.654 0.500
Os 0.654 0.346 0.500

Values from the calculation:
VASP energy ... -5.435 eV/atom
Calculated density ... 13.40 g/cm³
Energy of formation from the pure elements ... 0.64 eV per atom
Spin magnetization ... 0.0 μB/f.u.

---

Record 2
Here is a relaxed Nd2Zn3Pd2 crystal from Alexandria. Energies are from PBE.

a = 4.306 Å, b = 5.471 Å, c = 7.143 Å
α = 110.96°, β = 90.00°, γ = 113.17°
Element x y z (fractional)
Zn 0.374 0.748 0.565
Zn 0.626 0.252 0.435
Zn 0.500 0.000 0.000
Nd 0.855 0.710 0.237
Nd 0.145 0.290 0.763
Pd 0.864 0.727 0.795
Pd 0.136 0.273 0.205

Values from the calculation:
VASP energy ... -3.999 eV/atom
Calculated density ... 8.13 g/cm³
Energy of formation from the pure elements ... -0.61 eV per atom
Spin magnetization ... 0.0 μB/f.u.

---

Record 3
Here is a relaxed LaAlCuPd3 crystal from Alexandria. Energies are from PBE.

a = 5.638 Å, b = 6.431 Å, c = 7.167 Å
α = 116.66°, β = 90.00°, γ = 90.00°
Element x y z (fractional)
Pd 0.000 0.293 0.000
Pd 0.750 0.845 0.691
Pd 0.500 0.707 0.000
Pd 0.000 0.707 0.000
Pd 0.500 0.293 0.000
Pd 0.250 0.155 0.309
Al 0.750 0.050 0.100
Al 0.250 0.950 0.900
La 0.250 0.699 0.397
La 0.750 0.301 0.603
Cu 0.750 0.644 0.288
Cu 0.250 0.356 0.712

Values from the calculation:
VASP energy ... -5.223 eV/atom
Calculated density ... 7.85 g/cm³
Energy of formation from the pure elements ... -0.50 eV per atom
Spin magnetization ... 0.0 μB/f.u.

---

Record 4
Here is a relaxed Cu2SiAu crystal from Alexandria. Energies are from PBE.

a = 4.491 Å, b = 4.491 Å, c = 4.882 Å
α = 77.73°, β = 77.73°, γ = 36.32°
Element x y z (fractional)
Cu 0.986 0.986 0.034
Cu 0.514 0.514 0.466
Si 0.250 0.250 0.250
Au 0.750 0.750 0.750

Values from the calculation:
VASP energy ... -4.168 eV/atom
Calculated density ... 10.29 g/cm³
ΔE_f (raw) ... 0.06 eV per atom
Spin magnetization ... 0.0 μB/f.u.

---

Record 5
Here is a relaxed AcNd6Y4 crystal from Alexandria. Energies are from PBE.

a = 10.074 Å, b = 10.074 Å, c = 10.074 Å
α = 55.73°, β = 141.40°, γ = 141.40°
Element x y z (fractional)
Y 0.000 0.631 0.006
Y 0.000 0.006 0.631
Y 0.625 0.994 0.994
Y 0.375 0.369 0.369
Nd 0.000 0.452 0.811
Nd 0.641 0.189 0.189
Nd 0.000 0.811 0.452
Nd 0.500 0.500 0.000
Nd 0.359 0.548 0.548
Nd 0.500 0.000 0.500
Ac 0.000 0.000 0.000

Values from the calculation:
VASP energy ... -5.014 eV/atom
Calculated density ... 6.09 g/cm³
Energy of formation from the pure elements ... 0.31 eV per atom
Offset from the most stable computed form ... 0.0 meV per atom
Spin magnetization ... 0.0 μB/f.u.

---

Record 6
Here is a relaxed ScPb2F crystal from Alexandria. Energies are from PBE.

a = 4.288 Å, b = 4.288 Å, c = 11.374 Å
α = 79.14°, β = 79.14°, γ = 90.00°
Element x y z (fractional)
Pb 0.626 0.125 0.250
Pb 0.375 0.374 0.750
Pb 0.124 0.625 0.250
Pb 0.875 0.876 0.750
Sc 0.000 0.000 0.000
Sc 0.750 0.250 0.500
F 0.500 0.500 0.000
F 0.250 0.750 0.500

Values from the calculation:
VASP energy ... -4.441 eV/atom
Calculated density ... 7.88 g/cm³
ΔE_f (raw) ... -0.54 eV per atom
Offset from the most stable computed form ... 12.7 meV per atom
Spin magnetization ... 0.0 μB/f.u.

---

Record 7
Here is a relaxed LaHo2Cr2C4 crystal from Alexandria. Energies are from PBE.

a = 3.311 Å, b = 6.990 Å, c = 5.958 Å
α = 113.16°, β = 90.00°, γ = 103.70°
Element x y z (fractional)
C 0.778 0.555 0.804
C 0.521 0.042 0.631
C 0.222 0.445 0.196
C 0.479 0.958 0.369
Ho 0.852 0.704 0.460
Ho 0.148 0.296 0.540
La 0.000 0.000 0.000
Cr 0.324 0.648 0.028
Cr 0.676 0.352 0.972

Values from the calculation:
VASP energy ... -7.892 eV/atom
Calculated density ... 8.42 g/cm³
Energy of formation from the pure elements ... -0.09 eV per atom
Spin magnetization ... 0.0 μB/f.u.

---

Record 8
Here is a relaxed SmTmSc4 crystal from Alexandria. Energies are from PBE.

a = 5.308 Å, b = 6.251 Å, c = 11.300 Å
α = 72.57°, β = 90.00°, γ = 115.13°
Element x y z (fractional)
Tm 0.750 0.000 0.750
Tm 0.250 0.000 0.250
Sc 0.042 0.584 0.791
Sc 0.958 0.416 0.209
Sc 0.291 0.082 0.542
Sc 0.458 0.416 0.709
Sc 0.542 0.584 0.291
Sc 0.709 0.918 0.458
Sc 0.791 0.082 0.042
Sc 0.209 0.918 0.958
Sm 0.000 0.500 0.500
Sm 0.500 0.500 0.000

Values from the calculation:
VASP energy ... -5.687 eV/atom
Calculated density ... 5.17 g/cm³
Energy of formation from the pure elements ... 0.07 eV per atom
Offset from the most stable computed form ... 0.9 meV per atom
Spin magnetization ... 0.0 μB/f.u.

---

What is the calculated density in the fourth record?
10.29 g/cm³

---

Which formula does entry 2 have?
Nd2Zn3Pd2